## LaReAu2 (PBE)

Data for LaReAu2 after structural relaxation.

Output
**Uncorrected energy**: -23.09 eV for the cell shown
**SG**: No. 8
**Mass density**: 14.5 Mg/m³
**Size of the total moment**: 0.0 μB/f.u.
**Energy above the most stable polymorph in this dataset**: 48.8 meV per atom

Unit cell a=5.7653 b=5.7653 c=5.4003 alpha=62.84 beta=62.84 gamma=31.36
With the nearest neighbours (Å) after each atom.
Atoms (fractional coordinates):
Au 0.9756 0.9756 0.1030  2 Re 2.79, 3 Au 3.08-3.12, 2 La 3.12
Au 0.7447 0.7447 0.7153  2 Re 2.79, 1 La 3.03, 3 Au 3.08-3.12
Re 0.2626 0.2626 0.1248  4 Au 2.79, 3 La 3.03-3.04, 2 Re 3.12
La 0.5171 0.5171 0.5568  7 Au 3.03-3.17, 3 Re 3.03-3.04, 2 La 3.12



## Rb2SnF8 (PBE)

Data for Rb2SnF8 after structural relaxation.

Output
**Uncorrected energy**: -45.69 eV for the cell shown
**SG**: No. 12
**Mass density**: 3.3 Mg/m³
**Uncorrected formation energy**: -2.2526 eV per atom
**Size of the total moment**: 0.0 μB/f.u.

Unit cell a=6.8845 b=6.6161 c=6.6161 alpha=60.64 beta=62.31 gamma=62.31
With the nearest neighbours (Å) after each atom.
Atoms (fractional coordinates):
F 0.8933 0.1331 0.7119  1 Sn 2.00
Rb 0.2310 0.2535 0.2535  5 F 2.78-2.93
Sn 0.0000 0.0000 0.0000  6 F 2.00-2.02
Rb 0.7690 0.7465 0.7465  5 F 2.78-2.93
F 0.3124 0.8211 0.8211  1 Sn 2.02
F 0.6876 0.1789 0.1789  1 Sn 2.02
F 0.5462 0.4257 0.4257  1 F 1.46
F 0.1067 0.2881 0.8669  1 Sn 2.00
F 0.4538 0.5743 0.5743  1 F 1.46
F 0.8933 0.7119 0.1331  1 Sn 2.00
F 0.1067 0.8669 0.2881  1 Sn 2.00



Q: The highest uncorrected energy belongs to which entry?
A: LaReAu2